The following is a PBE calculation of a relaxed structure of Cs3CoI5, from the Open Quantum Materials Database.

Computed properties:
E, eV per cell: -105.12
SG: Pnma

Lattice parameters (Å, degrees): 10.1095 11.7041 14.9762 90.00 90.00 90.00
Site moments in Bohr magnetons follow the coordinates.
Sites, in units of the cell vectors:
Co: 0.8137 0.2500 0.1064  -0.86
Co: 0.3137 0.2500 0.3936  -0.86
Co: 0.6863 0.7500 0.6064  -0.86
Co: 0.1863 0.7500 0.8936  -0.86
Cs: 0.5870 0.7500 0.0463  0.00
Cs: 0.0825 0.5158 0.1728  0.00
Cs: 0.0825 0.9842 0.1728  0.00
Cs: 0.5825 0.5158 0.3272  0.00
Cs: 0.5825 0.9842 0.3272  0.00
Cs: 0.0870 0.7500 0.4537  0.00
Cs: 0.9130 0.2500 0.5463  0.00
Cs: 0.4175 0.0158 0.6728  0.00
Cs: 0.4175 0.4842 0.6728  0.00
Cs: 0.9175 0.0158 0.8272  0.00
Cs: 0.9175 0.4842 0.8272  0.00
Cs: 0.4130 0.2500 0.9537  0.00
I: 0.0288 0.2500 0.0133  -0.04
I: 0.6912 0.0638 0.0645  -0.03
I: 0.6912 0.4362 0.0645  -0.03
I: 0.3590 0.2500 0.2246  0.05
I: 0.3335 0.7500 0.2378  0.00
I: 0.8335 0.7500 0.2622  0.00
I: 0.8590 0.2500 0.2754  0.05
I: 0.1912 0.0638 0.4355  -0.03
I: 0.1912 0.4362 0.4355  -0.03
I: 0.5288 0.2500 0.4867  -0.04
I: 0.4712 0.7500 0.5133  -0.04
I: 0.8088 0.5638 0.5645  -0.03
I: 0.8088 0.9362 0.5645  -0.03
I: 0.1410 0.7500 0.7246  0.05
I: 0.1665 0.2500 0.7378  0.00
I: 0.6665 0.2500 0.7622  0.00
I: 0.6410 0.7500 0.7754  0.05
I: 0.3088 0.5638 0.9355  -0.03
I: 0.3088 0.9362 0.9355  -0.03
I: 0.9712 0.7500 0.9867  -0.04